# 1
{
  "formula": "CuBi5Pt3",
  "functional": "PBE",
  "state": "relaxed",
  "cell": [[5.729, 0.000, 0.000], [-2.864, 4.961, 0.000], [0.000, 0.000, 8.350]],
  "species": ["Cu", "Bi", "Bi", "Bi", "Bi", "Bi", "Pt", "Pt", "Pt"],
  "fractional_positions": [[0.000, 0.000, 0.000], [0.000, 0.000, 0.500], [0.333, 0.667, 0.205], [0.333, 0.667, 0.795], [0.667, 0.333, 0.205], [0.667, 0.333, 0.795], [0.000, 0.500, 0.500], [0.500, 0.000, 0.500], [0.500, 0.500, 0.500]],
  "space_group": "No. 191",
  "final_energy_ev_per_atom": -4.58,
  "magnetic_moment_mub_per_cell": 0.001
}

---

# 2
{
  "formula": "Zr2In2Mo",
  "functional": "PBE",
  "state": "relaxed",
  "cell": [[3.995, 0.000, 0.000], [0.000, 3.995, 0.000], [0.000, 0.000, 13.499]],
  "species": ["Zr", "Zr", "Zr", "Zr", "In", "In", "In", "In", "Mo", "Mo"],
  "fractional_positions": [[0.000, 0.000, 0.090], [0.000, 0.000, 0.910], [0.500, 0.500, 0.410], [0.500, 0.500, 0.590], [0.000, 0.500, 0.250], [0.000, 0.500, 0.750], [0.500, 0.000, 0.250], [0.500, 0.000, 0.750], [0.000, 0.000, 0.500], [0.500, 0.500, 0.000]],
  "space_group": "No. 139",
  "final_energy_ev_per_atom": -5.97,
  "magnetic_moment_mub_per_cell": 0.034
}

---

# 3
{
  "formula": "SmYCo2Pb",
  "functional": "PBE",
  "state": "relaxed",
  "cell": [[3.910, 0.000, 0.000], [0.000, 3.875, 0.000], [0.000, 0.000, 14.279]],
  "species": ["Sm", "Sm", "Y", "Y", "Co", "Co", "Co", "Co", "Pb", "Pb"],
  "fractional_positions": [[0.000, 0.000, 0.000], [0.000, 0.500, 0.500], [0.000, 0.000, 0.279], [0.000, 0.500, 0.779], [0.500, 0.000, 0.431], [0.500, 0.000, 0.846], [0.500, 0.500, 0.346], [0.500, 0.500, 0.931], [0.500, 0.000, 0.642], [0.500, 0.500, 0.142]],
  "space_group": "No. 38",
  "final_energy_ev_per_atom": -6.14,
  "magnetic_moment_mub_per_cell": 3.105
}

---

# 4
{
  "formula": "LiSbPt2",
  "functional": "PBE",
  "state": "relaxed",
  "cell": [[6.444, 0.000, 0.000], [0.000, 6.444, 0.000], [0.000, 0.000, 6.444]],
  "species": ["Li", "Li", "Li", "Li", "Sb", "Sb", "Sb", "Sb", "Pt", "Pt", "Pt", "Pt", "Pt", "Pt", "Pt", "Pt"],
  "fractional_positions": [[0.000, 0.000, 0.000], [0.000, 0.500, 0.500], [0.500, 0.000, 0.500], [0.500, 0.500, 0.000], [0.250, 0.250, 0.750], [0.250, 0.750, 0.250], [0.750, 0.250, 0.250], [0.750, 0.750, 0.750], [0.000, 0.000, 0.500], [0.000, 0.500, 0.000], [0.250, 0.250, 0.250], [0.250, 0.750, 0.750], [0.500, 0.000, 0.000], [0.500, 0.500, 0.500], [0.750, 0.250, 0.750], [0.750, 0.750, 0.250]],
  "space_group": "No. 216",
  "final_energy_ev_per_atom": -4.89,
  "magnetic_moment_mub_per_cell": 0.007
}

---

# 5
{
  "formula": "Li6PdPb",
  "functional": "PBE",
  "state": "relaxed",
  "cell": [[4.472, 0.000, 0.000], [0.000, 4.472, 0.000], [0.000, 0.000, 6.292]],
  "species": ["Li", "Li", "Li", "Li", "Li", "Li", "Pd", "Pb"],
  "fractional_positions": [[0.000, 0.000, 0.000], [0.000, 0.500, 0.231], [0.000, 0.500, 0.769], [0.500, 0.000, 0.231], [0.500, 0.000, 0.769], [0.500, 0.500, 0.500], [0.500, 0.500, 0.000], [0.000, 0.000, 0.500]],
  "space_group": "No. 123",
  "final_energy_ev_per_atom": -2.83
}

---

# 6
{
  "formula": "ScTlCuOs",
  "functional": "PBE",
  "state": "relaxed",
  "cell": [[6.538, 0.000, 0.000], [0.000, 6.538, 0.000], [0.000, 0.000, 6.538]],
  "species": ["Sc", "Sc", "Sc", "Sc", "Tl", "Tl", "Tl", "Tl", "Cu", "Cu", "Cu", "Cu", "Os", "Os", "Os", "Os"],
  "fractional_positions": [[0.000, 0.000, 0.000], [0.000, 0.500, 0.500], [0.500, 0.000, 0.500], [0.500, 0.500, 0.000], [0.000, 0.000, 0.500], [0.000, 0.500, 0.000], [0.500, 0.000, 0.000], [0.500, 0.500, 0.500], [0.250, 0.250, 0.750], [0.250, 0.750, 0.250], [0.750, 0.250, 0.250], [0.750, 0.750, 0.750], [0.250, 0.250, 0.250], [0.250, 0.750, 0.750], [0.750, 0.250, 0.750], [0.750, 0.750, 0.250]],
  "space_group": "No. 216",
  "final_energy_ev_per_atom": -5.73,
  "magnetic_moment_mub_per_cell": 0.003,
  "e_above_lowest_polymorph_mev_per_atom": 0
}

---

# 7
{
  "formula": "ThMg2Be4",
  "functional": "PBE",
  "state": "relaxed",
  "cell": [[6.412, 0.000, 0.000], [0.000, 9.948, 0.000], [0.000, 0.000, 3.613]],
  "species": ["Th", "Th", "Mg", "Mg", "Mg", "Mg", "Be", "Be", "Be", "Be", "Be", "Be", "Be", "Be"],
  "fractional_positions": [[0.000, 0.000, 0.000], [0.500, 0.500, 0.000], [0.250, 0.250, 0.500], [0.250, 0.750, 0.500], [0.750, 0.250, 0.500], [0.750, 0.750, 0.500], [0.000, 0.398, 0.000], [0.000, 0.602, 0.000], [0.154, 0.500, 0.500], [0.346, 0.000, 0.500], [0.500, 0.102, 0.000], [0.500, 0.898, 0.000], [0.654, 0.000, 0.500], [0.846, 0.500, 0.500]],
  "space_group": "No. 65",
  "final_energy_ev_per_atom": -3.49,
  "magnetic_moment_mub_per_cell": 0.071
}

---

# 8
{
  "formula": "Tm3Al2InCuAg2",
  "functional": "PBE",
  "state": "relaxed",
  "cell": [[3.965, 0.000, 0.000], [0.000, 6.329, 3.717], [0.000, -6.329, 3.717]],
  "species": ["Tm", "Tm", "Tm", "Al", "Al", "In", "Cu", "Ag", "Ag"],
  "fractional_positions": [[0.000, 0.000, 0.000], [0.000, 0.189, 0.598], [0.000, 0.598, 0.189], [0.500, 0.603, 0.837], [0.500, 0.837, 0.603], [0.500, 0.359, 0.359], [0.000, 0.618, 0.618], [0.500, 0.265, 0.923], [0.500, 0.923, 0.265]],
  "space_group": "No. 38",
  "final_energy_ev_per_atom": -4.10,
  "magnetic_moment_mub_per_cell": 0.001
}

---

# 9
{
  "formula": "LuZrTe",
  "functional": "PBE",
  "state": "relaxed",
  "cell": [[6.957, 0.000, 0.000], [0.000, 6.957, 0.000], [0.000, 0.000, 6.957]],
  "species": ["Lu", "Lu", "Lu", "Lu", "Zr", "Zr", "Zr", "Zr", "Te", "Te", "Te", "Te"],
  "fractional_positions": [[0.000, 0.000, 0.000], [0.000, 0.500, 0.500], [0.500, 0.000, 0.500], [0.500, 0.500, 0.000], [0.250, 0.250, 0.250], [0.250, 0.750, 0.750], [0.750, 0.250, 0.750], [0.750, 0.750, 0.250], [0.000, 0.000, 0.500], [0.000, 0.500, 0.000], [0.500, 0.000, 0.000], [0.500, 0.500, 0.500]],
  "space_group": "No. 216",
  "final_energy_ev_per_atom": -5.16,
  "magnetic_moment_mub_per_cell": 4.602
}

---

# 10
{
  "formula": "ZrMo",
  "functional": "PBE",
  "state": "relaxed",
  "cell": [[6.653, 0.000, 0.000], [0.000, 4.910, 0.000], [-1.678, 0.000, 6.946]],
  "species": ["Zr", "Zr", "Zr", "Zr", "Zr", "Zr", "Mo", "Mo", "Mo", "Mo", "Mo", "Mo"],
  "fractional_positions": [[0.038, 0.250, 0.152], [0.124, 0.750, 0.477], [0.386, 0.250, 0.521], [0.614, 0.750, 0.479], [0.876, 0.250, 0.523], [0.962, 0.750, 0.848], [0.228, 0.250, 0.849], [0.303, 0.750, 0.152], [0.464, 0.750, 0.855], [0.536, 0.250, 0.145], [0.697, 0.250, 0.848], [0.772, 0.750, 0.151]],
  "space_group": "No. 11",
  "final_energy_ev_per_atom": -9.64,
  "e_form_ev_per_atom": 0.059,
  "magnetic_moment_mub_per_cell": 0.035,
  "e_above_lowest_polymorph_mev_per_atom": 51
}